No. 1
The following is a GGA-PBEsol calculation of crystalline Ba2MoPt at its relaxed geometry, from Alexandria.

Computed properties:
Energy of formation from the pure elements in eV/atom: 0.33
N(E_F) in states/eV/cell: 7.02
Space group: No. 99

Lattice parameters (Å, degrees): 3.541 3.541 9.579 90.00 90.00 90.00
Element x y z (fractional)
Mo 0.000 0.000 0.591
Pt 0.500 0.500 0.670
Ba 0.500 0.500 0.325
Ba 0.000 0.000 0.914



No. 2
The following is a GGA-PBEsol calculation of crystalline RbBa2Mo2 at its relaxed geometry, from Alexandria.

Computed properties:
Energy of formation from the pure elements in eV/atom: 0.73
N(E_F) in states/eV/cell: 5.07
Space group: No. 139

Lattice parameters (Å, degrees): 3.664 3.664 13.894 97.58 97.58 90.00
Element x y z (fractional)
Rb 0.000 0.000 0.000
Mo 0.250 0.750 0.500
Ba 0.647 0.647 0.294
Ba 0.353 0.353 0.706
Mo 0.750 0.250 0.500



No. 3
The following is a GGA-PBEsol calculation of crystalline RbBaTlMo2 at its relaxed geometry, from Alexandria.

Computed properties:
Energy of formation from the pure elements in eV/atom: 2.34
N(E_F) in states/eV/cell: 4.77
Space group: No. 123

Lattice parameters (Å, degrees): 5.246 5.246 6.116 90.00 90.00 90.00
Element x y z (fractional)
Mo 0.000 0.500 0.000
Tl 0.500 0.500 0.500
Ba 0.000 0.000 0.000
Mo 0.500 0.000 0.000
Rb 0.000 0.000 0.500



No. 4
The following is a GGA-PBEsol calculation of crystalline BaReMo at its relaxed geometry, from Alexandria.

Computed properties:
Energy of formation from the pure elements in eV/atom: 2.88
N(E_F) in states/eV/cell: 4.22
Space group: No. 216

Lattice parameters (Å, degrees): 4.556 4.556 4.556 60.00 60.00 60.00
Element x y z (fractional)
Mo 0.000 0.000 0.000
Ba 0.750 0.750 0.750
Re 0.500 0.500 0.500



No. 5
The following is a GGA-PBEsol calculation of crystalline BaReMo4 at its relaxed geometry, from Alexandria.

Computed properties:
Energy of formation from the pure elements in eV/atom: 1.03
N(E_F) in states/eV/cell: 5.62
Space group: No. 216

Lattice parameters (Å, degrees): 5.341 5.341 5.341 60.00 60.00 60.00
Element x y z (fractional)
Mo 0.375 0.375 0.375
Mo 0.375 0.874 0.375
Re 0.750 0.750 0.750
Ba 0.000 0.000 0.000
Mo 0.874 0.375 0.375
Mo 0.375 0.375 0.874



No. 6
The following is a GGA-PBEsol calculation of crystalline BaMo2Rh at its relaxed geometry, from Alexandria.

Computed properties:
Energy of formation from the pure elements in eV/atom: 0.52
N(E_F) in states/eV/cell: 6.50
Space group: No. 99

Lattice parameters (Å, degrees): 3.199 3.199 7.833 90.00 90.00 90.00
Element x y z (fractional)
Rh 0.000 0.000 0.434
Mo 0.500 0.500 0.243
Mo 0.000 0.000 0.080
Ba 0.500 0.500 0.743



No. 7
The following is a GGA-PBEsol calculation of crystalline Ba4MoRh at its relaxed geometry, from Alexandria.

Computed properties:
Energy of formation from the pure elements in eV/atom: 1.45
N(E_F) in states/eV/cell: 7.57
Space group: No. 216

Lattice parameters (Å, degrees): 6.635 6.635 6.635 60.00 60.00 60.00
Element x y z (fractional)
Ba 0.876 0.375 0.375
Ba 0.375 0.375 0.876
Mo 0.750 0.750 0.750
Ba 0.375 0.375 0.375
Ba 0.375 0.876 0.375
Rh 0.000 0.000 0.000



No. 8
The following is a GGA-PBEsol calculation of crystalline BaMo3Rh at its relaxed geometry, from Alexandria.

Computed properties:
Energy of formation from the pure elements in eV/atom: 1.53
N(E_F) in states/eV/cell: 6.40
Space group: No. 221

Lattice parameters (Å, degrees): 4.824 4.824 4.824 90.00 90.00 90.00
Element x y z (fractional)
Ba 0.500 0.500 0.500
Rh 0.000 0.000 0.000
Mo 0.000 0.000 0.500
Mo 0.000 0.500 0.000
Mo 0.500 0.000 0.000



No. 9
The following is a GGA-PBEsol calculation of crystalline BaMo2Rh at its relaxed geometry, from Alexandria.

Computed properties:
Energy of formation from the pure elements in eV/atom: 0.79
N(E_F) in states/eV/cell: 3.18
Space group: No. 10

Lattice parameters (Å, degrees): 3.143 4.732 6.261 90.00 104.15 90.00
Element x y z (fractional)
Rh 0.500 0.500 0.000
Mo 0.297 0.000 0.140
Mo 0.703 0.000 0.860
Ba 0.000 0.500 0.500



No. 10
The following is a GGA-PBEsol calculation of crystalline Ba2MoRh at its relaxed geometry, from Alexandria.

Computed properties:
Energy of formation from the pure elements in eV/atom: 1.00
N(E_F) in states/eV/cell: 3.53
Space group: No. 123

Lattice parameters (Å, degrees): 3.657 3.657 8.196 90.00 90.00 90.00
Element x y z (fractional)
Ba 0.000 0.000 0.274
Rh 0.500 0.500 0.500
Ba 0.000 0.000 0.726
Mo 0.500 0.500 0.000



No. 11
The following is a GGA-PBEsol calculation of crystalline BaSrMoRh2 at its relaxed geometry, from Alexandria.

Computed properties:
Energy of formation from the pure elements in eV/atom: 1.70
N(E_F) in states/eV/cell: 4.73
Space group: No. 123

Lattice parameters (Å, degrees): 5.075 5.075 5.171 90.00 90.00 90.00
Element x y z (fractional)
Sr 0.500 0.500 0.500
Rh 0.000 0.500 0.000
Ba 0.000 0.000 0.000
Rh 0.500 0.000 0.000
Mo 0.000 0.000 0.500



No. 12
The following is a GGA-PBEsol calculation of crystalline BaMoRu2 at its relaxed geometry, from Alexandria.

Computed properties:
Energy of formation from the pure elements in eV/atom: 1.20
N(E_F) in states/eV/cell: 4.73
Space group: No. 216

Lattice parameters (Å, degrees): 4.631 4.631 4.631 60.00 60.00 60.00
Element x y z (fractional)
Ba 0.500 0.500 0.500
Ru 0.000 0.000 0.000
Mo 0.250 0.250 0.250
Ru 0.750 0.750 0.750



No. 13
The following is a GGA-PBEsol calculation of crystalline Ba2MoRu at its relaxed geometry, from Alexandria.

Computed properties:
Energy of formation from the pure elements in eV/atom: 1.42
N(E_F) in states/eV/cell: 5.20
Space group: No. 123

Lattice parameters (Å, degrees): 4.906 4.523 4.523 90.00 90.00 90.00
Element x y z (fractional)
Ba 0.000 0.500 0.000
Ru 0.500 0.000 0.000
Mo 0.500 0.500 0.500
Ba 0.000 0.000 0.500



No. 14
The following is a GGA-PBEsol calculation of crystalline BaMoRu2 at its relaxed geometry, from Alexandria.

Computed properties:
Energy of formation from the pure elements in eV/atom: 0.60
N(E_F) in states/eV/cell: 4.38
Space group: No. 160

Lattice parameters (Å, degrees): 4.294 4.294 6.450 70.56 70.56 60.00
Element x y z (fractional)
Ba 0.501 0.501 0.498
Ru 0.986 0.986 0.042
Ru 0.313 0.313 0.062
Mo 0.692 0.692 0.925



No. 15
The following is a GGA-PBEsol calculation of crystalline BaMoRu2 at its relaxed geometry, from Alexandria.

Computed properties:
Energy of formation from the pure elements in eV/atom: 0.74
N(E_F) in states/eV/cell: 4.90
Space group: No. 25

Lattice parameters (Å, degrees): 2.902 3.677 7.533 90.00 90.00 90.00
Element x y z (fractional)
Ru 0.500 0.500 0.171
Ru 0.000 0.000 0.994
Ba 0.000 0.000 0.486
Mo 0.500 0.500 0.849



No. 16
The following is a GGA-PBEsol calculation of crystalline Ba2MoRu at its relaxed geometry, from Alexandria.

Computed properties:
Energy of formation from the pure elements in eV/atom: 1.46
N(E_F) in states/eV/cell: 4.98
Space group: No. 12

Lattice parameters (Å, degrees): 3.134 5.268 5.958 94.60 90.00 107.31
Element x y z (fractional)
Ru 0.000 0.000 0.000
Ba 0.754 0.509 0.756
Mo 0.500 0.000 0.500
Ba 0.246 0.491 0.244



No. 17
The following is a GGA-PBEsol calculation of crystalline BaMoS2 at its relaxed geometry, from Alexandria.

Computed properties:
E_tot in eV per atom: -5.86
N(E_F) in states/eV/cell: 3.98
Space group: No. 166

Lattice parameters (Å, degrees): 4.811 4.811 7.869 72.20 72.20 60.00
Element x y z (fractional)
S 0.103 0.103 0.691
S 0.897 0.897 0.309
Mo 0.000 0.000 0.000
Ba 0.500 0.500 0.500



No. 18
The following is a GGA-PBEsol calculation of crystalline BaMo6S8 at its relaxed geometry, from Alexandria.

Computed properties:
E_tot in eV per atom: -8.17
N(E_F) in states/eV/cell: 10.68
Space group: No. 148

Lattice parameters (Å, degrees): 6.567 6.567 6.567 88.21 88.21 88.21
Element x y z (fractional)
S 0.262 0.606 0.877
Mo 0.770 0.585 0.434
Ba 0.000 0.000 0.000
Mo 0.566 0.230 0.415
Mo 0.230 0.415 0.566
S 0.123 0.738 0.394
S 0.877 0.262 0.606
S 0.749 0.749 0.749
S 0.606 0.877 0.262
Mo 0.434 0.770 0.585
S 0.394 0.123 0.738
S 0.738 0.394 0.123
Mo 0.585 0.434 0.770
Mo 0.415 0.566 0.230
S 0.251 0.251 0.251



No. 19
The following is a GGA-PBEsol calculation of crystalline BaMoS2 at its relaxed geometry, from Alexandria.

Computed properties:
E_tot in eV per atom: -6.48
N(E_F) in states/eV/cell: 5.08
Space group: No. 122

Lattice parameters (Å, degrees): 5.836 5.836 7.540 112.77 112.77 90.00
Element x y z (fractional)
Mo 0.750 0.250 0.500
Mo 0.500 0.500 0.000
S 0.125 0.249 0.750
Ba 0.250 0.750 0.500
Ba 0.000 0.000 0.000
S 0.751 0.375 0.250
S 0.625 0.501 0.750
S 0.499 0.875 0.250



No. 20
The following is a GGA-PBEsol calculation of crystalline Ba2TeMoS at its relaxed geometry, from Alexandria.

Computed properties:
E_tot in eV per atom: -5.40
N(E_F) in states/eV/cell: 2.96
Space group: No. 123

Lattice parameters (Å, degrees): 4.471 6.081 6.081 90.00 90.00 90.00
Element x y z (fractional)
S 0.000 0.000 0.000
Te 0.500 0.500 0.500
Ba 0.000 0.500 0.000
Mo 0.500 0.000 0.000
Ba 0.000 0.000 0.500